# Ce2Nb2Ni15, relaxed, DFT GGA-PBE
data_Ce2Nb2Ni15
_cell_length_a 8.3869
_cell_length_b 8.3869
_cell_length_c 12.4954
_cell_angle_alpha 90.00
_cell_angle_beta 90.00
_cell_angle_gamma 120.00
_symmetry_space_group_name_H-M 'R -3 m'
_symmetry_Int_Tables_number 166
_symmetry_space_group_name_Hall '-R 3 2"'
loop_
_atom_site_label
_atom_site_fract_x
_atom_site_fract_y
_atom_site_fract_z
Ce1 0.0000 0.0000 0.1528
Nb1 0.0000 0.0000 0.3997
Ni1 0.0000 0.3056 0.5000
Ni2 0.0000 0.5000 0.0000
Ni3 0.0029 0.5014 0.6568
# **Calculated volume**: 13.35 Å³/atom
# **N(E_F)**: 1.45 states/eV per atom
# **Density**: 8.8 g cm⁻³
# **Energy relative to the elements**: -0.2532 eV per atom